(1)
Density functional theory data (meta-GGA SCAN) for a PBEsol-optimized structure of SbPb2Cl.

The structure in POSCAR format:
```
SbPb2Cl
1.0
-0.742 -2.299 4.707
2.116 -4.747 0.988
4.035 -0.443 3.393
Pb Sb Cl
2 1 1
direct
0.000 0.000 0.000
0.750 0.750 0.750
0.250 0.250 0.250
0.500 0.500 0.500
```

DOS at the Fermi energy = 1.77 states/eV/cell
space-group type = F-43m, No. 216
electronic total energy = -49.3394 eV per atom

---

(2)
Density functional theory data (meta-GGA SCAN) for a PBEsol-optimized structure of NaCa2GaTc.

The structure in POSCAR format:
```
NaCa2GaTc
1.0
4.806 0.000 0.000
0.000 5.341 0.000
0.000 0.000 5.341
Na Ca Tc Ga
1 2 1 1
direct
0.000 0.000 0.000
0.000 0.000 0.500
0.000 0.500 0.000
0.500 0.500 0.500
0.500 0.000 0.000
```

DOS at the Fermi energy = 4.82 states/eV/cell
space-group type = P4/mmm, No. 123
electronic total energy = -13.8181 eV per atom
ΔH_f (0 K) = 5.9 eV/f.u.